[1]
{
  "formula": "Th5Pb4",
  "functional": "SCAN",
  "state": "single point on PBEsol structure",
  "ef_kcal_per_mol_atoms": -12.18,
  "crystal_system": "hexagonal",
  "lattice_angstrom": [[-3.5070, -3.5412, -4.2563], [-0.7181, -7.1246, 6.5192], [-6.6984, 6.9872, -0.2941]],
  "species": ["Pb", "Pb", "Th", "Th", "Th", "Th", "Pb", "Pb", "Th", "Th", "Pb", "Pb", "Th", "Th", "Pb", "Th", "Th", "Pb"],
  "fractional_positions": [[0.5000, 0.0000, 0.0000], [0.0000, 0.0000, 0.0000], [0.5000, 0.6667, 0.3333], [0.2500, 0.7182, 0.0000], [0.0000, 0.3333, 0.6667], [0.7500, 0.2818, 0.0000], [0.7500, 0.3791, 0.3791], [0.7500, 0.0000, 0.6209], [0.7500, 0.0000, 0.2818], [0.0000, 0.6667, 0.3333], [0.7500, 0.6209, 0.0000], [0.2500, 0.6209, 0.6209], [0.2500, 0.0000, 0.7182], [0.7500, 0.7182, 0.7182], [0.2500, 0.0000, 0.3791], [0.5000, 0.3333, 0.6667], [0.2500, 0.2818, 0.2818], [0.2500, 0.3791, 0.0000]]
}

[2]
{
  "formula": "Sr5V3BrO12",
  "functional": "SCAN",
  "state": "single point on PBEsol structure",
  "e_form_raw_ev_per_atom": -3.116,
  "crystal_system": "hexagonal",
  "lattice_angstrom": [[-2.3336, -0.5681, -6.8132], [-9.4843, -2.1028, 3.4238], [2.7915, 9.7556, -1.7696]],
  "species": ["O", "O", "O", "O", "O", "Sr", "O", "V", "Sr", "O", "Sr", "Sr", "Sr", "O", "Sr", "O", "O", "O", "Sr", "O", "Br", "Sr", "V", "O", "O", "O", "Br", "O", "V", "O", "O", "V", "Sr", "O", "O", "Sr", "O", "O", "V", "O", "O", "V"],
  "fractional_positions": [[0.9386, 0.2584, 0.3554], [0.9386, 0.0970, 0.7416], [0.2500, 0.8650, 0.4680], [0.0614, 0.3554, 0.0970], [0.7500, 0.3970, 0.8650], [0.2500, 0.2613, 0.2552], [0.7500, 0.1350, 0.5320], [0.7500, 0.3738, 0.4095], [0.5032, 0.6667, 0.3333], [0.2500, 0.6030, 0.1350], [0.7500, 0.0062, 0.2613], [0.9968, 0.6667, 0.3333], [0.4968, 0.3333, 0.6667], [0.9386, 0.6446, 0.9030], [0.2500, 0.7448, 0.0062], [0.2500, 0.5320, 0.3970], [0.4386, 0.7416, 0.6446], [0.2500, 0.3392, 0.8457], [0.7500, 0.7387, 0.7448], [0.4386, 0.9030, 0.2584], [0.0000, 0.0000, 0.0000], [0.7500, 0.2552, 0.9938], [0.2500, 0.6262, 0.5905], [0.7500, 0.4680, 0.6030], [0.2500, 0.1543, 0.4936], [0.7500, 0.8457, 0.5064], [0.5000, 0.0000, 0.0000], [0.0614, 0.9030, 0.2584], [0.2500, 0.9643, 0.3738], [0.0614, 0.7416, 0.6446], [0.5614, 0.6446, 0.9030], [0.7500, 0.0357, 0.6262], [0.0032, 0.3333, 0.6667], [0.7500, 0.4936, 0.3392], [0.7500, 0.6608, 0.1543], [0.2500, 0.9938, 0.7387], [0.2500, 0.5064, 0.6608], [0.4386, 0.3554, 0.0970], [0.2500, 0.4095, 0.0357], [0.5614, 0.2584, 0.3554], [0.5614, 0.0970, 0.7416], [0.7500, 0.5905, 0.9643]]
}

[3]
{
  "formula": "Co2PbBr",
  "functional": "SCAN",
  "state": "single point on PBEsol structure",
  "e_form_raw_ev_per_atom": 0.338,
  "crystal_system": "monoclinic",
  "lattice_angstrom": [[-0.6779, -0.9042, -3.0723], [-2.4018, -4.2942, 0.0497], [-5.1834, 2.1030, -1.2192]],
  "species": ["Br", "Co", "Co", "Pb"],
  "fractional_positions": [[0.5000, 0.0000, 0.0000], [0.1635, 0.0381, 0.6348], [0.8365, 0.9619, 0.3652], [0.5000, 0.5000, 0.5000]]
}

[4]
{
  "formula": "WBrO2",
  "functional": "SCAN",
  "state": "single point on PBEsol structure",
  "e_form_raw_ev_per_atom": 0.032,
  "crystal_system": "trigonal",
  "lattice_angstrom": [[-0.3525, 1.0892, 2.7287], [0.2527, -1.7823, 2.3486], [7.7410, 1.3587, 2.0622]],
  "species": ["W", "O", "Br", "O"],
  "fractional_positions": [[0.0000, 0.0000, 0.0000], [0.0754, 0.0754, 0.7739], [0.5000, 0.5000, 0.5000], [0.9246, 0.9246, 0.2261]]
}

[5]
{
  "formula": "Be3Sb",
  "functional": "SCAN",
  "state": "single point on PBEsol structure",
  "e_form_raw_ev_per_atom": 0.530,
  "crystal_system": "hexagonal",
  "lattice_angstrom": [[-0.2720, -3.7138, 0.0455], [2.1970, -0.0960, 5.2975], [-5.6726, 0.4063, -0.7453]],
  "species": ["Sb", "Be", "Be", "Be", "Sb", "Be", "Be", "Be"],
  "fractional_positions": [[0.7500, 0.6667, 0.3333], [0.2500, 0.8706, 0.7411], [0.7500, 0.7411, 0.8706], [0.2500, 0.8706, 0.1294], [0.2500, 0.3333, 0.6667], [0.7500, 0.1294, 0.2589], [0.7500, 0.1294, 0.8706], [0.2500, 0.2589, 0.1294]]
}

[6]
{
  "formula": "SrAgAu",
  "functional": "SCAN",
  "state": "single point on PBEsol structure",
  "ef_kcal_per_mol_atoms": -14.47,
  "crystal_system": "hexagonal",
  "lattice_angstrom": [[3.9234, 0.0000, 0.0000], [0.0000, 4.6898, 0.0000], [0.0000, -2.3449, 4.0615]],
  "species": ["Ag", "Au", "Sr"],
  "fractional_positions": [[0.0000, 0.0000, 0.0000], [0.0000, 0.6667, 0.3333], [0.5000, 0.3333, 0.6667]]
}